Here is KNa2MoF8 after structural relaxation from Alexandria. Energies are from PBE with a Hubbard U.

a b c (Å): 4.8597 5.5617 7.9122
angles (deg): 89.73 89.84 84.00
Closest atoms and distances in Å follow each position.
Element x y z (fractional)
K (0.0000, 0.0000, 0.5000)  2 F 2.46
Na (0.4976, 0.4985, 0.7005)  4 F 2.15-2.35
F (0.7202, 0.7872, 0.0019)  1 Mo 1.89
F (0.8172, 0.2026, 0.1754)  1 Mo 1.95
F (0.1828, 0.7974, 0.8246)  1 Mo 1.95
F (0.3515, 0.2868, 0.4994)  2 Na 2.15
Mo (0.0000, 0.0000, 0.0000)  6 F 1.89-1.95
F (0.6485, 0.7132, 0.5006)  2 Na 2.15
F (0.1830, 0.7985, 0.1766)  1 Mo 1.94
F (0.2798, 0.2128, 0.9981)  1 Mo 1.89
F (0.8170, 0.2015, 0.8234)  1 Mo 1.94
Na (0.5024, 0.5015, 0.2995)  4 F 2.15-2.35

Results
- SG = P-1, No. 2
- calculated density (g cm⁻³) = 2.6
- E_tot (eV/atom) = -4.71